Computed, not measured: GdTlGaSe3 after structural relaxation at the PBE-GGA level of DFT.

Geometry as POSCAR:
```
GdTlGaSe3
1.0
2.286 -6.980 0.000
2.286 6.980 0.000
0.000 0.000 10.991
Gd Tl Ga Se
2 2 2 6
direct
0.000 0.000 0.000
0.000 0.000 0.500
0.252 0.748 0.750
0.748 0.252 0.250
0.485 0.515 0.250
0.515 0.485 0.750
0.070 0.930 0.250
0.374 0.626 0.068
0.374 0.626 0.432
0.626 0.374 0.568
0.626 0.374 0.932
0.930 0.070 0.750
```

Properties
As for the space group: Cmcm. The calculation puts the total energy at -0.1614 Ha/atom.